No. 1
The following is a DFT calculation (PBE) of crystalline Ac3Pm2In4 at its relaxed geometry.

Lattice parameters (Å, degrees): 5.6492 5.6505 10.7812 89.82 89.79 60.22
Last column: nearest neighbours and their distance in Å.
Space group P-1 (No. 2)
Symmetry-distinct sites (fractional):
Ac1 0.0000 0.0000 0.0000 (multiplicity 1)  8 In 3.44-3.68
Ac2 0.3328 0.3315 0.4204 (multiplicity 2)  4 In 3.37-3.44, 3 Ac 3.67-3.71
Pm1 0.3331 0.3335 0.7837 (multiplicity 2)  7 In 3.43-3.55
In1 0.0007 0.0027 0.6586 (multiplicity 2)  4 Ac 3.37-3.68, 1 In 3.42, 3 Pm 3.52-3.55
In2 0.3338 0.3336 0.1015 (multiplicity 2)  4 Pm 3.43-3.50, 4 Ac 3.44-3.45

* mass density: 7.95 Mg/m³
* size of the total moment: 0.0 μB per cell
* offset from the most stable computed form: 0.000 eV per atom
* calculated total energy: -4.02 eV/atom
* crystal system: triclinic

---

No. 2
The following is a DFT calculation (PBE) of crystalline LiCuAs2 at its relaxed geometry.

Lattice parameters (Å, degrees): 5.7586 7.6029 2.8993 90.00 94.95 90.00
Last column: nearest neighbours and their distance in Å.
Space group C2/m (No. 12)
Symmetry-distinct sites (fractional):
Li1 0.0000 0.0000 0.0000 (multiplicity 2)  8 As 2.73-2.85, 2 Cu 2.88, 2 Li 2.90
Cu1 0.0000 0.5000 0.0000 (multiplicity 2)  8 As 2.73-2.85, 2 Li 2.88, 2 Cu 2.90
As1 0.2500 0.2500 0.5000 (multiplicity 4)  4 Li 2.73-2.85, 4 Cu 2.73-2.85, 4 As 2.88-2.90

* mass density: 5.79 Mg/m³
* size of the total moment: 0.0 μB per cell
* offset from the most stable computed form: 0.089 eV per atom
* calculated total energy: -3.93 eV/atom
* crystal system: monoclinic

---

No. 3
The following is a DFT calculation (PBE) of crystalline Ca2YMgC at its relaxed geometry.

Lattice parameters (Å, degrees): 5.1838 5.1838 4.9375 90.00 90.00 90.00
Last column: nearest neighbours and their distance in Å.
Space group P4/mmm (No. 123)
Symmetry-distinct sites (fractional):
Ca1 0.0000 0.5000 0.0000 (multiplicity 2)  2 C 2.59
Y1 0.0000 0.0000 0.5000 (multiplicity 1)  2 C 2.47
Mg1 0.5000 0.5000 0.5000 (multiplicity 1)  8 Ca 3.58, 4 Y 3.67
C1 0.0000 0.0000 0.0000 (multiplicity 1)  2 Y 2.47, 4 Ca 2.59

* mass density: 2.57 Mg/m³
* size of the total moment: 1.2 μB per cell
* calculated total energy: -4.21 eV/atom
* crystal system: tetragonal

---

No. 4
The following is a DFT calculation (PBE) of crystalline Cd3HgF3 at its relaxed geometry.

Lattice parameters (Å, degrees): 6.7496 6.7496 6.7496 90.00 90.00 90.00
Last column: nearest neighbours and their distance in Å.
Space group Pm-3n (No. 223)
Symmetry-distinct sites (fractional):
Cd1 0.0000 0.2500 0.5000 (multiplicity 6)  4 F 2.39
Hg1 0.0000 0.0000 0.0000 (multiplicity 2)  12 Cd 3.77, 12 F 3.77
F1 0.0000 0.5000 0.2500 (multiplicity 6)  4 Cd 2.39

* mass density: 6.42 Mg/m³
* ΔE_f (raw): -1127 meV per atom
* size of the total moment: 0.0 μB per cell
* calculated total energy: -2.36 eV/atom
* crystal system: cubic

---

No. 5
The following is a DFT calculation (PBE) of crystalline LaHf2I at its relaxed geometry.

Lattice parameters (Å, degrees): 7.3867 7.3867 7.3867 90.00 90.00 90.00
Last column: nearest neighbours and their distance in Å.
Space group Fm-3m (No. 225)
Symmetry-distinct sites (fractional):
La1 0.0000 0.0000 0.0000 (multiplicity 4)  8 Hf 3.20
Hf1 0.2500 0.2500 0.2500 (multiplicity 8)  4 I 3.20, 4 La 3.20
I1 0.0000 0.0000 0.5000 (multiplicity 4)  8 Hf 3.20

* mass density: 10.26 Mg/m³
* ΔE_f (raw): 546 meV per atom
* size of the total moment: 0.0 μB per cell
* offset from the most stable computed form: 0.257 eV per atom
* calculated total energy: -6.05 eV/atom
* crystal system: cubic

---

No. 6
The following is a DFT calculation (PBE) of crystalline BaLaSb2Br at its relaxed geometry.

Lattice parameters (Å, degrees): 5.9030 5.9030 5.6265 90.00 90.00 90.00
Last column: nearest neighbours and their distance in Å.
Space group P4/mmm (No. 123)
Symmetry-distinct sites (fractional):
Ba1 0.0000 0.0000 0.0000 (multiplicity 1)  2 Br 2.81
La1 0.5000 0.5000 0.0000 (multiplicity 1)  8 Sb 4.08, 4 Ba 4.17
Sb1 0.0000 0.5000 0.5000 (multiplicity 2)  2 Br 2.95
Br1 0.0000 0.0000 0.5000 (multiplicity 1)  2 Ba 2.81, 4 Sb 2.95

* mass density: 5.08 Mg/m³
* ΔE_f (raw): -128 meV per atom
* size of the total moment: 0.5 μB per cell
* calculated total energy: -3.48 eV/atom
* crystal system: tetragonal

---

No. 7
The following is a DFT calculation (PBE) of crystalline LiEuCl2 at its relaxed geometry.

Lattice parameters (Å, degrees): 3.9325 3.9325 24.6598 90.00 90.00 120.00
Last column: nearest neighbours and their distance in Å.
Space group R-3m (No. 166, hexagonal axes)
Symmetry-distinct sites (fractional):
Li1 0.0000 0.0000 0.0000 (multiplicity 3)  6 Cl 2.65
Eu1 0.0000 0.0000 0.5000 (multiplicity 3)  2 Cl 2.74
Cl1 0.0000 0.0000 0.3889 (multiplicity 6)  3 Li 2.65, 1 Eu 2.74

* mass density: 3.47 Mg/m³
* ΔE_f (raw): -1570 meV per atom
* size of the total moment: 22.8 μB per cell
* calculated total energy: -5.54 eV/atom
* crystal system: trigonal

---

No. 8
The following is a DFT calculation (PBE) of crystalline Si2MoAu at its relaxed geometry.

Lattice parameters (Å, degrees): 2.9246 3.8235 5.5858 90.00 90.00 90.00
Last column: nearest neighbours and their distance in Å.
Space group Pmmm (No. 47)
Symmetry-distinct sites (fractional):
Si1 0.0000 0.0000 0.2118 (multiplicity 2)  1 Si 2.37, 2 Au 2.50
Mo1 0.5000 0.5000 0.0000 (multiplicity 1)  8 Si 2.68, 2 Mo 2.92
Au1 0.0000 0.5000 0.5000 (multiplicity 1)  4 Si 2.50

* mass density: 9.28 Mg/m³
* ΔE_f (raw): 45 meV per atom
* size of the total moment: 0.0 μB per cell
* offset from the most stable computed form: 0.109 eV per atom
* calculated total energy: -6.19 eV/atom
* crystal system: orthorhombic

---

No. 9
The following is a DFT calculation (PBE) of crystalline BaTa2Re at its relaxed geometry.

Lattice parameters (Å, degrees): 3.0707 4.3133 7.4463 90.00 90.58 90.00
Last column: nearest neighbours and their distance in Å.
Space group Pm (No. 6)
Symmetry-distinct sites (fractional):
Ba1 0.0000 0.0000 0.0000 (multiplicity 1)  2 Ba 3.07, 2 Re 3.42, 2 Ta 3.44
Ta1 0.3413 0.0000 0.4679 (multiplicity 1)  2 Re 2.61, 2 Ta 2.86
Ta2 0.9050 0.5000 0.6424 (multiplicity 1)  1 Re 2.41
Re1 0.6848 0.5000 0.3301 (multiplicity 1)  3 Ta 2.41-2.61

* mass density: 11.54 Mg/m³
* size of the total moment: 0.0 μB per cell
* offset from the most stable computed form: 0.109 eV per atom
* calculated total energy: -8.91 eV/atom
* crystal system: monoclinic

---

No. 10
The following is a DFT calculation (PBE) of crystalline ErNi3Ge at its relaxed geometry.

Lattice parameters (Å, degrees): 5.9912 13.0631 4.4541 90.00 90.00 90.00
Last column: nearest neighbours and their distance in Å.
Space group Cmcm (No. 63)
Symmetry-distinct sites (fractional):
Er1 0.0000 0.1065 0.2500 (multiplicity 4)  2 Ni 2.52
Ni1 0.0000 0.5000 0.0000 (multiplicity 4)  2 Ni 2.23, 2 Ge 2.36
Ni2 0.1859 0.2658 0.7500 (multiplicity 8)  3 Ni 2.23-2.39, 1 Ge 2.34
Ge1 0.0000 0.3407 0.2500 (multiplicity 4)  4 Ni 2.34-2.36

* mass density: 7.93 Mg/m³
* size of the total moment: 1.1 μB per cell
* calculated total energy: -5.32 eV/atom
* crystal system: orthorhombic

---

No. 11
The following is a DFT calculation (PBE) of crystalline Dy4Y6Ho at its relaxed geometry.

Lattice parameters (Å, degrees): 7.5189 7.5189 13.3168 90.00 90.00 90.00
Last column: nearest neighbours and their distance in Å.
Space group I-42m (No. 121)
Symmetry-distinct sites (fractional):
Dy1 0.1659 0.1659 0.4221 (multiplicity 8)  3 Y 2.99-3.22, 2 Dy 3.25
Y1 0.0000 0.5000 0.0000 (multiplicity 4)  4 Dy 2.99
Y2 0.2342 0.2342 0.1862 (multiplicity 8)  1 Dy 3.22, 1 Ho 3.51
Ho1 0.0000 0.0000 0.0000 (multiplicity 2)  8 Y 3.51-3.76, 4 Dy 3.70

* mass density: 5.95 Mg/m³
* size of the total moment: 0.0 μB per cell
* offset from the most stable computed form: 0.306 eV per atom
* calculated total energy: -5.18 eV/atom
* crystal system: tetragonal

---

No. 12
The following is a DFT calculation (PBE) of crystalline Cs2KBaBi at its relaxed geometry.

Lattice parameters (Å, degrees): 7.7245 7.7245 6.8826 90.00 90.00 90.00
Last column: nearest neighbours and their distance in Å.
Space group P4/mmm (No. 123)
Symmetry-distinct sites (fractional):
Cs1 0.0000 0.5000 0.0000 (multiplicity 2)  2 Bi 3.86
K1 0.0000 0.0000 0.5000 (multiplicity 1)  8 Cs 5.17, 4 Ba 5.46
Ba1 0.5000 0.5000 0.5000 (multiplicity 1)  2 Bi 3.44
Bi1 0.5000 0.5000 0.0000 (multiplicity 1)  2 Ba 3.44

* mass density: 2.63 Mg/m³
* size of the total moment: 0.0 μB per cell
* calculated total energy: -1.93 eV/atom
* crystal system: tetragonal

---

- The highest mass density belongs to which entry?
  BaTa2Re

---

- Which of these has the highest calculated total energy?
  Cs2KBaBi

---

Please write out number 3 again, unchanged.
The following is a DFT calculation (PBE) of crystalline Ca2YMgC at its relaxed geometry.

Lattice parameters (Å, degrees): 5.1838 5.1838 4.9375 90.00 90.00 90.00
Last column: nearest neighbours and their distance in Å.
Space group P4/mmm (No. 123)
Symmetry-distinct sites (fractional):
Ca1 0.0000 0.5000 0.0000 (multiplicity 2)  2 C 2.59
Y1 0.0000 0.0000 0.5000 (multiplicity 1)  2 C 2.47
Mg1 0.5000 0.5000 0.5000 (multiplicity 1)  8 Ca 3.58, 4 Y 3.67
C1 0.0000 0.0000 0.0000 (multiplicity 1)  2 Y 2.47, 4 Ca 2.59

* mass density: 2.57 Mg/m³
* size of the total moment: 1.2 μB per cell
* calculated total energy: -4.21 eV/atom
* crystal system: tetragonal